No. 1
The following is a PBE calculation of a relaxed structure of CaHo2Br8, from Alexandria.

Geometry as CIF:
```
data_CaHo2Br8
_chemical_formula_sum 'Ca2 Ho4 Br16'
_space_group_name_H-M_alt 'C 1 2/m 1'
_space_group_IT_number 12
_space_group_name_Hall '-C 2y'
_cell_length_a 14.7854
_cell_length_b 10.0036
_cell_length_c 7.2678
_cell_angle_alpha 90.00
_cell_angle_beta 99.89
_cell_angle_gamma 90.00
loop_
_atom_site_label
_atom_site_type_symbol
_atom_site_fract_x
_atom_site_fract_y
_atom_site_fract_z
Ca1 Ca 0.0000 0.0000 0.0000
Ho1 Ho 0.1835 0.0000 0.6551
Br1 Br 0.0893 0.1961 0.7876
Br2 Br 0.1443 0.5000 0.2027
Br3 Br 0.1697 0.0000 0.2813
```

- Uncorrected formation energy: -1765 meV per atom
- DOS(E_F): 0.000 states/eV/atom

No. 2
The following is a PBE calculation of a relaxed structure of CaHoBr2, from Alexandria.

Geometry as CIF:
```
data_CaHoBr2
_chemical_formula_sum 'Ca3 Ho3 Br6'
_space_group_name_H-M_alt 'R -3 m'
_space_group_IT_number 166
_space_group_name_Hall '-R 3 2"'
_cell_length_a 3.7545
_cell_length_b 3.7545
_cell_length_c 30.6829
_cell_angle_alpha 90.00
_cell_angle_beta 90.00
_cell_angle_gamma 120.00
loop_
_atom_site_label
_atom_site_type_symbol
_atom_site_fract_x
_atom_site_fract_y
_atom_site_fract_z
Ca1 Ca 0.0000 0.0000 0.0000
Ho1 Ho 0.0000 0.0000 0.5000
Br1 Br 0.0000 0.0000 0.1011
```

- Uncorrected formation energy: -1076 meV per atom
- DOS(E_F): 0.812 states/eV/atom

No. 3
The following is a PBE calculation of a relaxed structure of CaHoInBr6, from Alexandria.

Geometry as CIF:
```
data_CaHoInBr6
_chemical_formula_sum 'Ca2 Ho2 In2 Br12'
_space_group_name_H-M_alt 'P -3 1 c'
_space_group_IT_number 163
_space_group_name_Hall '-P 3 2c'
_cell_length_a 7.4218
_cell_length_b 7.4218
_cell_length_c 14.3632
_cell_angle_alpha 90.00
_cell_angle_beta 90.00
_cell_angle_gamma 120.00
loop_
_atom_site_label
_atom_site_type_symbol
_atom_site_fract_x
_atom_site_fract_y
_atom_site_fract_z
Ca1 Ca 0.3333 0.6667 0.2500
Ho1 Ho 0.3333 0.6667 0.7500
In1 In 0.0000 0.0000 0.0000
Br1 Br 0.0115 0.3730 0.6372
```

- Uncorrected formation energy: -1671 meV per atom
- DOS(E_F): 0.000 states/eV/atom

No. 4
The following is a PBE calculation of a relaxed structure of KCaHoBr6, from Alexandria.

Geometry as CIF:
```
data_KCaHoBr6
_chemical_formula_sum 'K2 Ca2 Ho2 Br12'
_space_group_name_H-M_alt 'P -3 1 c'
_space_group_IT_number 163
_space_group_name_Hall '-P 3 2c'
_cell_length_a 7.4419
_cell_length_b 7.4419
_cell_length_c 14.3284
_cell_angle_alpha 90.00
_cell_angle_beta 90.00
_cell_angle_gamma 120.00
loop_
_atom_site_label
_atom_site_type_symbol
_atom_site_fract_x
_atom_site_fract_y
_atom_site_fract_z
K1 K 0.0000 0.0000 0.0000
Ca1 Ca 0.3333 0.6667 0.2500
Ho1 Ho 0.3333 0.6667 0.7500
Br1 Br 0.0115 0.3752 0.6369
```

- Uncorrected formation energy: -1927 meV per atom
- DOS(E_F): 0.000 states/eV/atom

No. 5
The following is a PBE calculation of a relaxed structure of Ca2HoBr2N2, from Alexandria.

Geometry as CIF:
```
data_Ca2HoBr2N2
_chemical_formula_sum 'Ca4 Ho2 Br4 N4'
_space_group_name_H-M_alt 'I 4/m m m'
_space_group_IT_number 139
_space_group_name_Hall '-I 4 2'
_cell_length_a 4.3956
_cell_length_b 4.3956
_cell_length_c 15.7155
_cell_angle_alpha 90.00
_cell_angle_beta 90.00
_cell_angle_gamma 90.00
loop_
_atom_site_label
_atom_site_type_symbol
_atom_site_fract_x
_atom_site_fract_y
_atom_site_fract_z
Ca1 Ca 0.0000 0.0000 0.0995
Ho1 Ho 0.0000 0.0000 0.5000
Br1 Br 0.0000 0.0000 0.3156
N1 N 0.0000 0.5000 0.0000
```

- Uncorrected formation energy: -1308 meV per atom
- DOS(E_F): 0.391 states/eV/atom

No. 6
The following is a PBE calculation of a relaxed structure of NaCa2HoBr8, from Alexandria.

Geometry as CIF:
```
data_NaCa2HoBr8
_chemical_formula_sum 'Na1 Ca2 Ho1 Br8'
_space_group_name_H-M_alt 'P 1 2/m 1'
_space_group_IT_number 10
_space_group_name_Hall '-P 2y'
_cell_length_a 6.7001
_cell_length_b 8.7617
_cell_length_c 6.9258
_cell_angle_alpha 90.00
_cell_angle_beta 90.19
_cell_angle_gamma 90.00
loop_
_atom_site_label
_atom_site_type_symbol
_atom_site_fract_x
_atom_site_fract_y
_atom_site_fract_z
Na1 Na 0.0000 0.0000 0.0000
Ca1 Ca 0.5000 0.2431 0.5000
Ho1 Ho 0.0000 0.5000 0.0000
Br1 Br 0.2211 0.2684 0.8274
Br2 Br 0.2697 0.5000 0.3202
Br3 Br 0.2800 0.0000 0.3278
```

- Uncorrected formation energy: -1880 meV per atom
- DOS(E_F): 0.000 states/eV/atom

No. 7
The following is a PBE calculation of a relaxed structure of RbCa2HoBr8, from Alexandria.

Geometry as CIF:
```
data_RbCa2HoBr8
_chemical_formula_sum 'Rb1 Ca2 Ho1 Br8'
_space_group_name_H-M_alt 'P 1 2/m 1'
_space_group_IT_number 10
_space_group_name_Hall '-P 2y'
_cell_length_a 6.7490
_cell_length_b 9.1874
_cell_length_c 7.0576
_cell_angle_alpha 90.00
_cell_angle_beta 90.69
_cell_angle_gamma 90.00
loop_
_atom_site_label
_atom_site_type_symbol
_atom_site_fract_x
_atom_site_fract_y
_atom_site_fract_z
Rb1 Rb 0.0000 0.0000 0.0000
Ca1 Ca 0.5000 0.2487 0.5000
Ho1 Ho 0.0000 0.5000 0.0000
Br1 Br 0.2420 0.2896 0.1660
Br2 Br 0.2579 0.5000 0.6752
Br3 Br 0.2716 0.0000 0.6191
```

- Uncorrected formation energy: -1893 meV per atom
- DOS(E_F): 0.000 states/eV/atom

No. 8
The following is a PBE calculation of a relaxed structure of CaIBr3, from Alexandria.

Geometry as CIF:
```
data_CaIBr3
_chemical_formula_sum 'Ca1 I1 Br3'
_space_group_name_H-M_alt 'P m -3 m'
_space_group_IT_number 221
_space_group_name_Hall '-P 4 2 3'
_cell_length_a 5.7011
_cell_length_b 5.7011
_cell_length_c 5.7011
_cell_angle_alpha 90.00
_cell_angle_beta 90.00
_cell_angle_gamma 90.00
loop_
_atom_site_label
_atom_site_type_symbol
_atom_site_fract_x
_atom_site_fract_y
_atom_site_fract_z
Ca1 Ca 0.0000 0.0000 0.0000
I1 I 0.5000 0.5000 0.5000
Br1 Br 0.0000 0.0000 0.5000
```

- Uncorrected formation energy: -873 meV per atom
- Energy above the lowest structure with this stoichiometry: 0.0 kJ/mol of formula units
- DOS(E_F): 0.802 states/eV/atom

No. 9
The following is a PBE calculation of a relaxed structure of CaIBr2, from Alexandria.

Geometry as CIF:
```
data_CaIBr2
_chemical_formula_sum 'Ca2 I2 Br4'
_space_group_name_H-M_alt 'P -1'
_space_group_IT_number 2
_space_group_name_Hall '-P 1'
_cell_length_a 4.3370
_cell_length_b 7.4038
_cell_length_c 11.7812
_cell_angle_alpha 74.64
_cell_angle_beta 89.94
_cell_angle_gamma 89.98
loop_
_atom_site_label
_atom_site_type_symbol
_atom_site_fract_x
_atom_site_fract_y
_atom_site_fract_z
Ca1 Ca 0.2500 0.2501 0.9998
I1 I 0.2503 0.6576 0.5041
Br1 Br 0.2496 0.5268 0.1365
Br2 Br 0.2505 0.9731 0.8629
```

- Uncorrected formation energy: -1385 meV per atom
- Energy above the lowest structure with this stoichiometry: 39.1 kJ/mol of formula units
- DOS(E_F): 0.171 states/eV/atom

No. 10
The following is a PBE calculation of a relaxed structure of CaIBr2, from Alexandria.

Geometry as CIF:
```
data_CaIBr2
_chemical_formula_sum 'Ca2 I2 Br4'
_space_group_name_H-M_alt 'P 1'
_space_group_IT_number 1
_space_group_name_Hall 'P 1'
_cell_length_a 5.7166
_cell_length_b 8.0587
_cell_length_c 8.2866
_cell_angle_alpha 80.35
_cell_angle_beta 74.58
_cell_angle_gamma 70.45
loop_
_atom_site_label
_atom_site_type_symbol
_atom_site_fract_x
_atom_site_fract_y
_atom_site_fract_z
Ca1 Ca 0.0000 0.0000 0.0000
Ca2 Ca 0.2660 0.4429 0.0484
I1 I 0.0825 0.2174 0.6107
I2 I 0.6135 0.4829 0.6685
Br1 Br 0.0753 0.7228 0.2551
Br2 Br 0.0999 0.7170 0.7827
Br3 Br 0.4701 0.0632 0.0005
Br4 Br 0.7836 0.3460 0.1338
```

- Uncorrected formation energy: -1436 meV per atom
- Energy above the lowest structure with this stoichiometry: 19.7 kJ/mol of formula units
- DOS(E_F): 0.000 states/eV/atom

No. 11
The following is a PBE calculation of a relaxed structure of CaIBr2, from Alexandria.

Geometry as CIF:
```
data_CaIBr2
_chemical_formula_sum 'Ca2 I2 Br4'
_space_group_name_H-M_alt 'P 1'
_space_group_IT_number 1
_space_group_name_Hall 'P 1'
_cell_length_a 5.6729
_cell_length_b 7.5494
_cell_length_c 8.1734
_cell_angle_alpha 69.19
_cell_angle_beta 74.67
_cell_angle_gamma 81.49
loop_
_atom_site_label
_atom_site_type_symbol
_atom_site_fract_x
_atom_site_fract_y
_atom_site_fract_z
Ca1 Ca 0.0000 0.0000 0.0000
Ca2 Ca 0.3121 0.0653 0.4437
I1 I 0.4514 0.4925 0.3790
I2 I 0.4565 0.1736 0.0218
Br1 Br 0.0247 0.3147 0.6419
Br2 Br 0.2991 0.7909 0.7845
Br3 Br 0.8365 0.6032 0.1115
Br4 Br 0.8629 0.9673 0.3822
```

- Uncorrected formation energy: -1384 meV per atom
- Energy above the lowest structure with this stoichiometry: 39.8 kJ/mol of formula units
- DOS(E_F): 0.000 states/eV/atom

No. 12
The following is a PBE calculation of a relaxed structure of CaIBr2, from Alexandria.

Geometry as CIF:
```
data_CaIBr2
_chemical_formula_sum 'Ca4 I4 Br8'
_space_group_name_H-M_alt 'I -4 2 d'
_space_group_IT_number 122
_space_group_name_Hall 'I -4 2bw'
_cell_length_a 10.0345
_cell_length_b 10.0345
_cell_length_c 6.4789
_cell_angle_alpha 90.00
_cell_angle_beta 90.00
_cell_angle_gamma 90.00
loop_
_atom_site_label
_atom_site_type_symbol
_atom_site_fract_x
_atom_site_fract_y
_atom_site_fract_z
Ca1 Ca 0.0000 0.0000 0.0000
I1 I 0.0000 0.0000 0.5000
Br1 Br 0.1136 0.7500 0.1250
```

- Uncorrected formation energy: -1188 meV per atom
- Energy above the lowest structure with this stoichiometry: 115.4 kJ/mol of formula units
- DOS(E_F): 0.728 states/eV/atom

Which of these has the highest uncorrected formation energy? CaIBr3